Entry from Alexandria via LeMat-Bulk: crystalline Sr2YTeW at its relaxed geometry (PBE-GGA).

DFT total energy: -4.48 eV/atom
formation energy (no corrections): 709 meV/atom

The structure in POSCAR format:
```
Sr2YTeW
1.0
6.081 0.000 0.000
0.000 6.081 0.000
0.000 0.000 5.065
Sr Y Te W
2 1 1 1
Direct
0.000 0.500 0.000
0.500 0.000 0.000
0.000 0.000 0.500
0.500 0.500 0.000
0.500 0.500 0.500
```



Entry from Alexandria via LeMat-Bulk: crystalline SrZnTeW2 at its relaxed geometry (PBE-GGA).

DFT total energy: -4.63 eV/atom
formation energy (no corrections): 1771 meV/atom

The structure in POSCAR format:
```
SrZnTeW2
1.0
4.982 0.000 0.000
0.000 4.982 0.000
0.000 0.000 5.933
Sr Zn Te W
1 1 1 2
Direct
0.000 0.000 0.000
0.500 0.500 0.000
0.000 0.000 0.500
0.000 0.500 0.500
0.500 0.000 0.500
```



Entry from Alexandria via LeMat-Bulk: crystalline SrY2Te at its relaxed geometry (PBE-GGA).

DFT total energy: -4.75 eV/atom
formation energy (no corrections): -314 meV/atom

The structure in POSCAR format:
```
SrY2Te
1.0
6.955 0.000 0.000
0.000 11.884 0.000
-2.075 0.000 3.240
Sr Y Te
2 4 2
Direct
0.000 0.000 0.000
0.500 0.500 0.000
0.250 0.250 0.500
0.250 0.750 0.500
0.750 0.250 0.500
0.750 0.750 0.500
0.000 0.500 0.000
0.500 0.000 0.000
```